{
  "formula": "Pb3Au",
  "functional": "PBE",
  "state": "optimized geometry",
  "energy_ev_per_atom": -3.6024,
  "density_g_cm3": 11.88,
  "lattice_angstrom": [[-0.219, -3.561, 0.405], [2.831, 1.446, -1.670], [4.919, 0.716, 8.959]],
  "species": ["Pb", "Pb", "Pb", "Au"],
  "frac_coords": [[0.000, 0.000, 0.500], [0.667, 0.333, 0.787], [0.667, 0.333, 0.213], [0.000, 0.000, 0.000]]
}